(P)
5
Lattice="-3.9709 -3.0106 -1.7095 3.4185 -3.8209 -1.2117 -0.8285 -5.4564 3.4161" Properties=species:S:1:pos:R:3 comment="InBi2P2, relaxed, DFT PBE" spacegroup=I4/mmm pbc="T T T"
P -2.5377 -5.9413 0.1230
P 1.1569 -6.3465 0.3719
Bi -0.4487 -4.0531 0.0626
Bi -0.9321 -8.2347 0.4323
In 0.0000 0.0000 0.0000

***

(Q)
10
Lattice="-0.4962 7.6032 2.4203 -7.6504 -1.1422 2.0195 1.0940 -1.0575 3.5464" Properties=species:S:1:pos:R:3 comment="InBi2P2, relaxed, DFT PBE" spacegroup=P4/mbm pbc="T T T"
P -6.5917 1.6229 2.5174
P -5.4691 5.6291 3.3657
P -1.5550 4.8381 1.9224
P -2.6775 0.8319 1.0740
Bi -4.5488 -0.0922 3.4754
Bi -6.2358 3.4946 5.0653
Bi -2.5039 5.4957 4.5108
Bi -0.8169 1.9089 2.9208
In 0.0000 0.0000 0.0000
In -4.0733 3.2305 2.2199

***

Verdict on stability: (P) comes out at the bottom.